An optimized crystal structure of PtWAu, computed with PBE.

Cell lengths 2.842, 2.842, 12.202 Å; angles 90.00, 90.00, 90.00 degrees
Space group I4mm (No. 107)
Symmetry-distinct sites (fractional):
Pt1 0.000 0.000 0.000 x2
W1 0.000 0.000 0.351 x2
Au1 0.000 0.000 0.683 x2

Properties
Magnetic moment in μB per formula unit: 0.000
Density in g cm⁻³: 19.400
Energy above the lowest structure with this stoichiometry in meV/atom: 111

An optimized crystal structure of PtW2Au, computed with PBE.

Cell lengths 5.517, 8.478, 2.755 Å; angles 90.00, 90.00, 90.00 degrees
Space group Cmmm (No. 65)
Symmetry-distinct sites (fractional):
Pt1 0.000 0.000 0.000 x2
W1 0.250 0.250 0.500 x4
Au1 0.000 0.500 0.000 x2

Properties
Magnetic moment in μB per formula unit: 0.000
Density in g cm⁻³: 19.578
Energy above the lowest structure with this stoichiometry in meV/atom: 123

An optimized crystal structure of PtW2Au, computed with PBE.

Cell lengths 2.8220, 2.8220, 28.2772 Å; angles 90.00, 90.00, 120.00 degrees
Space group R-3m (No. 166, hexagonal axes)
Symmetry-distinct sites (fractional):
Pt1 0.0000 0.0000 0.0000 x3
W1 0.0000 0.0000 0.2520 x6
Au1 0.0000 0.0000 0.5000 x3

Properties
Magnetic moment in μB per formula unit: 0.000
Density in g cm⁻³: 19.407
Energy above the lowest structure with this stoichiometry in meV/atom: 150

An optimized crystal structure of PtW2Au2, computed with PBE.

Cell lengths 7.828, 7.828, 2.831 Å; angles 90.00, 90.00, 90.00 degrees
Space group P4/mbm (No. 127)
Symmetry-distinct sites (fractional):
Pt1 0.000 0.000 0.000 x2
W1 0.176 0.324 0.500 x4
Au1 0.123 0.623 0.000 x4

Properties
Magnetic moment in μB per formula unit: 0.000
Density in g cm⁻³: 18.319
Energy above the lowest structure with this stoichiometry in meV/atom: 28

An optimized crystal structure of Pt2WAu, computed with PBE.

Cell lengths 9.270, 2.816, 5.015 Å; angles 90.00, 99.50, 90.00 degrees
Space group C2/m (No. 12)
Symmetry-distinct sites (fractional):
Pt1 0.244 0.000 0.236 x4
W1 0.000 0.500 0.000 x2
Au1 0.000 0.000 0.500 x2

Properties
Magnetic moment in μB per formula unit: 0.000
Density in g cm⁻³: 19.834
Energy above the lowest structure with this stoichiometry in meV/atom: 195

An optimized crystal structure of PtW2Au, computed with PBE.

Cell lengths 3.894, 3.894, 8.514 Å; angles 90.00, 90.00, 90.00 degrees
Space group I4/mmm (No. 139)
Symmetry-distinct sites (fractional):
Pt1 0.000 0.000 0.000 x2
W1 0.000 0.500 0.250 x4
Au1 0.000 0.000 0.500 x2

Properties
Magnetic moment in μB per formula unit: 0.000
Density in g cm⁻³: 19.543
Energy above the lowest structure with this stoichiometry in meV/atom: 147

An optimized crystal structure of Pt2WAu, computed with PBE.

Cell lengths 4.873, 4.873, 2.786 Å; angles 90.00, 90.00, 90.00 degrees
Space group P4/mmm (No. 123)
Symmetry-distinct sites (fractional):
Pt1 0.000 0.500 0.000 x2
W1 0.000 0.000 0.500 x1
Au1 0.500 0.500 0.500 x1

Properties
Magnetic moment in μB per formula unit: 0.000
Density in g cm⁻³: 19.354
Energy above the lowest structure with this stoichiometry in meV/atom: 387

An optimized crystal structure of PtW2Au, computed with PBE.

Cell lengths 9.407, 2.758, 5.052 Å; angles 90.00, 98.36, 90.00 degrees
Space group Cm (No. 8)
Symmetry-distinct sites (fractional):
Pt1 0.000 0.000 0.000 x2
W1 0.240 0.500 0.235 x2
W2 0.489 0.000 0.490 x2
Au1 0.240 0.000 0.738 x2

Properties
Magnetic moment in μB per formula unit: 0.000
Density in g cm⁻³: 19.454
Energy above the lowest structure with this stoichiometry in meV/atom: 87

An optimized crystal structure of YPtAu, computed with PBE.

Cell lengths 6.720, 5.457, 7.362 Å; angles 90.00, 109.70, 90.00 degrees
Space group P2_1/c (No. 14)
Symmetry-distinct sites (fractional):
Y1 0.192 0.128 0.372 x4
Pt1 0.161 0.647 0.511 x4
Au1 0.438 0.585 0.297 x4

Properties
Magnetic moment in μB per formula unit: 0.000
Density in g cm⁻³: 12.569
Final energy in eV per atom: -6.190

An optimized crystal structure of YPtAu, computed with PBE.

Cell lengths 4.6417, 4.6417, 3.4311 Å; angles 90.00, 90.00, 120.00 degrees
Space group P3m1 (No. 156)
Symmetry-distinct sites (fractional):
Y1 0.0000 0.0000 0.0000 x1
Pt1 0.3333 0.6667 0.4987 x1
Au1 0.6667 0.3333 0.5004 x1

Properties
Magnetic moment in μB per formula unit: 0.000
Density in g cm⁻³: 12.475
Final energy in eV per atom: -6.089

An optimized crystal structure of YPtAu3, computed with PBE.

Cell lengths 5.303, 5.303, 5.303 Å; angles 90.00, 90.00, 90.00 degrees
Space group Pm-3m (No. 221)
Symmetry-distinct sites (fractional):
Y1 0.000 0.000 0.000 x1
Pt1 0.500 0.500 0.500 x1
Au1 0.000 0.000 0.500 x3

Properties
Magnetic moment in μB per formula unit: 0.000
Density in g cm⁻³: 9.739
Energy above the lowest structure with this stoichiometry in meV/atom: 1308

An optimized crystal structure of Y4PtAu, computed with PBE.

Cell lengths 8.186, 4.837, 16.051 Å; angles 90.00, 90.00, 90.00 degrees
Space group Pnma (No. 62)
Symmetry-distinct sites (fractional):
Y1 0.034 0.250 0.074 x4
Y2 0.072 0.250 0.779 x4
Y3 0.133 0.250 0.340 x4
Y4 0.149 0.250 0.568 x4
Pt1 0.201 0.750 0.687 x4
Au1 0.233 0.750 0.437 x4

Properties
Magnetic moment in μB per formula unit: 0.000
Density in g cm⁻³: 7.813
Energy above the lowest structure with this stoichiometry in meV/atom: 0